{
  "formula": "YW2Cl",
  "functional": "PBE",
  "state": "relaxed",
  "sg": "No. 65",
  "total_magnetization_mub_per_atom": 0.000,
  "e_tot_ev_per_atom": -7.741,
  "e_above_lowest_polymorph_mev_per_atom": 874,
  "formation_energy_uncorrected_ev_per_fu": 3.3,
  "vol_a3_per_atom": 19.64,
  "cell": [[-1.278, -1.715, 5.417], [-0.918, -3.009, -4.901], [2.617, -1.190, 0.240]],
  "species": ["Cl", "W", "W", "Y"],
  "fractional_positions": [[0.000, 0.500, 0.500], [0.000, 0.000, 0.000], [0.500, 0.500, 0.000], [0.500, 0.000, 0.500]]
}